No. 1
# YBeRu2 PBE optimized geometry
data_YBeRu2
_cell_length_a 4.4870
_cell_length_b 4.4870
_cell_length_c 4.4870
_cell_angle_alpha 60.00
_cell_angle_beta 60.00
_cell_angle_gamma 60.00
_symmetry_space_group_name_H-M 'P 1'
_symmetry_Int_Tables_number 1
loop_
_symmetry_equiv_pos_as_xyz
'x,y,z'
loop_
_atom_site_label
_atom_site_type_symbol
_atom_site_fract_x
_atom_site_fract_y
_atom_site_fract_z
Y1 Y 0.0000 0.0000 0.0000
Be1 Be 0.7500 0.7500 0.7500
Ru1 Ru 0.2500 0.2500 0.2500
Ru2 Ru 0.5000 0.5000 0.5000
# - Space group: F-43m (216)
# - Formation energy from the elements: 0.202 eV/atom
# - Volume: 16.0 Å³ per atom
# - Crystal system: cubic

=====

No. 2
# YBeRu2 PBE optimized geometry
data_YBeRu2
_cell_length_a 5.1789
_cell_length_b 5.1789
_cell_length_c 2.8887
_cell_angle_alpha 104.48
_cell_angle_beta 104.48
_cell_angle_gamma 113.69
_symmetry_space_group_name_H-M 'P 1'
_symmetry_Int_Tables_number 1
loop_
_symmetry_equiv_pos_as_xyz
'x,y,z'
loop_
_atom_site_label
_atom_site_type_symbol
_atom_site_fract_x
_atom_site_fract_y
_atom_site_fract_z
Y1 Y 0.0000 0.0000 0.0000
Be1 Be 0.5000 0.5000 0.0000
Ru1 Ru 0.0000 0.5000 0.5000
Ru2 Ru 0.5000 0.0000 0.5000
# - Space group: C2/m (12)
# - Formation energy from the elements: 0.225 eV/atom
# - Volume: 15.8 Å³ per atom
# - Crystal system: monoclinic